{"formula": "Tm12Ga6Os", "functional": "PBE", "state": "optimized geometry", "e_form_mev_per_atom": -211, "magnetic_moment_mub_per_fu": 0.0, "lattice": [[8.277, -0.046, -0.056], [-1.301, 8.175, -0.056], [-1.301, -1.515, 8.033]], "species": ["Tm", "Tm", "Tm", "Tm", "Tm", "Tm", "Tm", "Tm", "Tm", "Tm", "Tm", "Tm", "Ga", "Ga", "Ga", "Ga", "Ga", "Ga", "Os"], "frac_coords": [[0.431, 0.818, 0.571], [0.818, 0.571, 0.431], [0.569, 0.182, 0.429], [0.317, 0.071, 0.960], [0.571, 0.431, 0.818], [0.040, 0.683, 0.929], [0.960, 0.317, 0.071], [0.182, 0.429, 0.569], [0.683, 0.929, 0.040], [0.071, 0.960, 0.317], [0.429, 0.569, 0.182], [0.929, 0.040, 0.683], [0.622, 0.304, 0.136], [0.304, 0.136, 0.622], [0.378, 0.696, 0.864], [0.136, 0.622, 0.304], [0.696, 0.864, 0.378], [0.864, 0.378, 0.696], [0.000, 0.000, 0.000]]}


{"formula": "Li3TaAl", "functional": "PBE", "state": "optimized geometry", "e_form_mev_per_atom": 1040, "relative_energy_kj_per_mol_atoms": 0.00, "magnetic_moment_mub_per_fu": 0.0, "lattice": [[4.367, 0.000, 0.000], [0.000, 4.367, 0.000], [0.000, 0.000, 4.367]], "species": ["Ta", "Li", "Li", "Li", "Al"], "frac_coords": [[0.500, 0.500, 0.500], [0.000, 0.500, 0.000], [0.500, 0.000, 0.000], [0.000, 0.000, 0.500], [0.000, 0.000, 0.000]]}


{"formula": "Sn4PAu3", "functional": "PBE", "state": "optimized geometry", "e_form_mev_per_atom": -109, "magnetic_moment_mub_per_fu": 0.0, "lattice": [[3.954, 0.000, 0.000], [0.000, 6.692, -2.215], [0.000, 0.008, 7.049]], "species": ["Sn", "Sn", "Sn", "Sn", "Au", "Au", "Au", "P"], "frac_coords": [[0.000, 0.761, 0.761], [0.000, 0.239, 0.239], [0.500, 0.241, 0.759], [0.500, 0.759, 0.241], [0.000, 0.500, 0.000], [0.000, 0.000, 0.500], [0.500, 0.500, 0.500], [0.500, 0.000, 0.000]]}


{"formula": "TiCo2OsI", "functional": "PBE", "state": "optimized geometry", "e_form_raw_kcal_per_mol_atoms": 24.6, "magnetic_moment_mub_per_fu": 3.4, "lattice": [[4.677, 0.000, 0.000], [0.000, 4.721, 0.000], [0.000, 0.000, 4.677]], "species": ["Co", "Co", "I", "Os", "Ti"], "frac_coords": [[0.000, 0.000, 0.500], [0.500, 0.000, 0.000], [0.500, 0.500, 0.500], [0.000, 0.000, 0.000], [0.000, 0.500, 0.000]]}


{"formula": "Ti2AlGa", "functional": "PBE", "state": "optimized geometry", "e_form_mev_per_atom": -17, "magnetic_moment_mub_per_fu": 0.0, "lattice": [[-6.250, -2.578, -2.353], [-1.582, -2.210, 6.623], [-5.092, -0.012, 2.648]], "species": ["Ga", "Ga", "Ti", "Ti", "Ti", "Ti", "Al", "Al"], "frac_coords": [[0.000, 0.000, 0.000], [0.750, 0.250, 0.500], [0.375, 0.368, 0.750], [0.875, 0.882, 0.750], [0.118, 0.625, 0.250], [0.632, 0.125, 0.250], [0.250, 0.750, 0.500], [0.500, 0.500, 0.000]]}


{"formula": "ErTh8C5", "functional": "PBE", "state": "optimized geometry", "e_form_mev_per_atom": -197, "magnetic_moment_mub_per_fu": 0.0, "lattice": [[-3.149, 1.872, -0.259], [-3.414, -6.578, -6.020], [-1.063, -4.167, 8.832]], "species": ["Th", "Th", "Th", "Th", "Th", "Th", "Th", "Th", "C", "C", "C", "C", "C", "Er"], "frac_coords": [[0.238, 0.167, 0.477], [0.831, 0.505, 0.661], [0.908, 0.156, 0.817], [0.423, 0.837, 0.846], [0.762, 0.833, 0.523], [0.091, 0.844, 0.183], [0.169, 0.495, 0.339], [0.577, 0.163, 0.154], [0.295, 0.655, 0.590], [0.705, 0.345, 0.410], [0.665, 0.990, 0.329], [0.335, 0.010, 0.671], [0.000, 0.000, 0.000], [0.500, 0.500, 0.000]]}


{"formula": "MgOs2Br", "functional": "PBE", "state": "optimized geometry", "e_form_raw_kcal_per_mol_atoms": 10.5, "relative_energy_kj_per_mol_atoms": 19.53, "magnetic_moment_mub_per_fu": 0.0, "lattice": [[-1.312, -8.399, 3.028], [-0.257, -7.146, 5.505], [-3.145, -6.932, 4.847]], "species": ["Br", "Mg", "Os", "Os"], "frac_coords": [[0.496, 0.496, 0.496], [0.747, 0.747, 0.747], [0.998, 0.998, 0.998], [0.259, 0.259, 0.259]]}


{"formula": "Li2TiAgCl", "functional": "PBE", "state": "optimized geometry", "e_form_raw_kcal_per_mol_atoms": 14.6, "magnetic_moment_mub_per_fu": 0.5, "lattice": [[-4.224, -0.920, -2.077], [-1.988, -1.215, 4.580], [-1.312, 4.568, 0.643]], "species": ["Li", "Li", "Ti", "Ag", "Cl"], "frac_coords": [[0.000, 0.000, 0.500], [0.500, 0.000, 0.000], [0.500, 0.500, 0.500], [0.000, 0.000, 0.000], [0.000, 0.500, 0.000]]}


{"formula": "RbCdAg2I4", "functional": "PBE", "state": "optimized geometry", "e_form_raw_kcal_per_mol_atoms": -10.9, "magnetic_moment_mub_per_fu": 0.0, "lattice": [[6.998, 0.282, 0.000], [-0.300, 6.997, 0.000], [-3.349, -3.639, 7.466]], "species": ["I", "I", "I", "I", "Ag", "Ag", "Cd", "Rb"], "frac_coords": [[0.870, 0.431, 0.302], [0.570, 0.570, 0.698], [0.128, 0.128, 0.698], [0.431, 0.870, 0.302], [0.750, 0.250, 0.500], [0.250, 0.750, 0.500], [0.499, 0.499, 0.998], [0.001, 0.001, 0.003]]}


{"formula": "NaSmY2", "functional": "PBE", "state": "optimized geometry", "e_form_mev_per_atom": 137, "relative_energy_kj_per_mol_atoms": 0.00, "magnetic_moment_mub_per_fu": 0.0, "lattice": [[3.590, 0.000, 0.000], [0.000, 3.590, 0.000], [0.000, 0.000, 10.489]], "species": ["Y", "Y", "Na", "Sm"], "frac_coords": [[0.000, 0.000, 0.767], [0.000, 0.000, 0.233], [0.500, 0.500, 0.500], [0.500, 0.500, 0.000]]}


{"formula": "LuThGe2", "functional": "PBE", "state": "optimized geometry", "e_form_mev_per_atom": -569, "magnetic_moment_mub_per_fu": 0.0, "lattice": [[4.078, 0.000, 0.000], [0.000, 4.780, 0.000], [0.000, 0.000, 4.780]], "species": ["Ge", "Ge", "Lu", "Th"], "frac_coords": [[0.000, 0.000, 0.500], [0.000, 0.500, 0.000], [0.500, 0.500, 0.500], [0.500, 0.000, 0.000]]}


{"formula": "SnPb3I", "functional": "PBE", "state": "optimized geometry", "e_form_raw_kcal_per_mol_atoms": 8.6, "relative_energy_kj_per_mol_atoms": 0.00, "magnetic_moment_mub_per_fu": 0.0, "lattice": [[5.963, 0.000, 0.000], [0.000, 5.963, 0.000], [0.000, 0.000, 5.963]], "species": ["I", "Pb", "Pb", "Pb", "Sn"], "frac_coords": [[0.500, 0.500, 0.500], [0.000, 0.500, 0.000], [0.500, 0.000, 0.000], [0.000, 0.000, 0.500], [0.000, 0.000, 0.000]]}


{"formula": "Tb2Al6Cu3", "functional": "PBE", "state": "optimized geometry", "e_form_mev_per_atom": -373, "magnetic_moment_mub_per_fu": 0.0, "lattice": [[4.006, 0.000, 0.000], [0.000, 7.611, 0.000], [0.000, -3.806, 6.592]], "species": ["Al", "Al", "Al", "Al", "Al", "Al", "Cu", "Cu", "Cu", "Tb", "Tb"], "frac_coords": [[0.000, 0.198, 0.198], [0.500, 0.694, 0.694], [0.000, 0.000, 0.802], [0.500, 0.306, 0.000], [0.000, 0.802, 0.000], [0.500, 0.000, 0.306], [0.500, 0.000, 0.629], [0.500, 0.629, 0.000], [0.500, 0.371, 0.371], [0.000, 0.333, 0.667], [0.000, 0.667, 0.333]]}


{"formula": "Pm2U2Te7", "functional": "PBE", "state": "optimized geometry", "e_form_raw_kcal_per_mol_atoms": -22.4, "relative_energy_kj_per_mol_atoms": 0.00, "magnetic_moment_mub_per_fu": 4.1, "lattice": [[4.224, 0.000, 0.906], [1.186, 8.330, 4.771], [0.135, -0.062, 9.672]], "species": ["Te", "Te", "Te", "Te", "Te", "Te", "Te", "U", "U", "Pm", "Pm"], "frac_coords": [[0.178, 0.712, 0.932], [0.393, 0.710, 0.504], [0.864, 0.420, 0.851], [0.822, 0.068, 0.288], [0.607, 0.496, 0.290], [0.500, 0.011, 0.989], [0.136, 0.149, 0.580], [0.500, 0.325, 0.675], [0.000, 0.774, 0.226], [0.261, 0.334, 0.145], [0.739, 0.855, 0.666]]}


{"formula": "TlHg2Bi2", "functional": "PBE", "state": "optimized geometry", "e_form_mev_per_atom": 64, "relative_energy_kj_per_mol_atoms": 3.75, "magnetic_moment_mub_per_fu": 0.0, "lattice": [[4.750, 0.000, 0.000], [0.000, 4.750, 0.000], [2.375, 2.375, 7.195]], "species": ["Hg", "Hg", "Bi", "Bi", "Tl"], "frac_coords": [[0.402, 0.402, 0.195], [0.598, 0.598, 0.805], [0.250, 0.750, 0.500], [0.750, 0.250, 0.500], [0.000, 0.000, 0.000]]}


{"formula": "ThBPd6", "functional": "PBE", "state": "optimized geometry", "e_form_mev_per_atom": -495, "magnetic_moment_mub_per_fu": 0.0, "lattice": [[5.619, 0.000, 0.000], [2.809, 4.866, 0.000], [2.809, 1.622, 5.113]], "species": ["Pd", "Pd", "Pd", "Pd", "Pd", "Pd", "B", "Th"], "frac_coords": [[0.907, 0.424, 0.763], [0.576, 0.093, 0.237], [0.424, 0.907, 0.763], [0.093, 0.576, 0.237], [0.907, 0.907, 0.763], [0.093, 0.093, 0.237], [0.000, 0.000, 0.000], [0.500, 0.500, 0.500]]}


{"formula": "LiLa3Tc2N6", "functional": "PBE", "state": "optimized geometry", "e_form_raw_kcal_per_mol_atoms": -15.1, "magnetic_moment_mub_per_fu": 0.0, "lattice": [[-1.695, 5.142, -2.131], [-1.771, -1.688, 5.278], [5.277, 2.852, 2.683]], "species": ["Tc", "Tc", "N", "N", "N", "N", "N", "N", "La", "La", "La", "Li"], "frac_coords": [[0.333, 0.667, 0.197], [0.667, 0.333, 0.803], [0.330, 0.165, 0.709], [0.165, 0.835, 0.291], [0.670, 0.835, 0.291], [0.835, 0.165, 0.709], [0.165, 0.330, 0.291], [0.835, 0.670, 0.709], [0.333, 0.667, 0.666], [0.667, 0.333, 0.334], [0.000, 0.000, 0.000], [0.000, 0.000, 0.500]]}


{"formula": "Sm6Hg3N", "functional": "PBE", "state": "optimized geometry", "e_form_raw_kcal_per_mol_atoms": -11.9, "relative_energy_kj_per_mol_atoms": 0.00, "magnetic_moment_mub_per_fu": 0.0, "lattice": [[-3.189, -5.547, 1.683], [5.845, -4.445, -3.577], [4.795, -0.965, 9.036]], "species": ["Sm", "Sm", "Sm", "Sm", "Sm", "Sm", "Sm", "Sm", "Sm", "Sm", "Sm", "Sm", "N", "N", "Hg", "Hg", "Hg", "Hg", "Hg", "Hg"], "frac_coords": [[0.178, 0.355, 0.448], [0.822, 0.645, 0.552], [0.150, 0.051, 0.776], [0.650, 0.449, 0.276], [0.619, 0.224, 0.564], [0.881, 0.724, 0.936], [0.850, 0.949, 0.224], [0.119, 0.276, 0.064], [0.322, 0.855, 0.052], [0.678, 0.145, 0.948], [0.350, 0.551, 0.724], [0.381, 0.776, 0.436], [0.000, 0.000, 0.000], [0.500, 0.500, 0.500], [0.500, 0.500, 0.000], [0.081, 0.612, 0.236], [0.000, 0.000, 0.500], [0.419, 0.112, 0.264], [0.919, 0.388, 0.764], [0.581, 0.888, 0.736]]}


{"formula": "BaCu2NiAs8", "functional": "PBE", "state": "optimized geometry", "e_form_mev_per_atom": -41, "magnetic_moment_mub_per_fu": 0.0, "lattice": [[6.325, 0.000, 0.000], [3.163, 5.478, 0.000], [3.163, 1.826, 7.224]], "species": ["As", "As", "As", "As", "As", "As", "As", "As", "Ba", "Cu", "Cu", "Ni"], "frac_coords": [[0.312, 0.945, 0.140], [0.116, 0.116, 0.653], [0.603, 0.312, 0.140], [0.945, 0.603, 0.140], [0.055, 0.397, 0.860], [0.397, 0.688, 0.860], [0.884, 0.884, 0.347], [0.688, 0.055, 0.860], [0.500, 0.500, 0.500], [0.228, 0.228, 0.316], [0.772, 0.772, 0.684], [0.000, 0.000, 0.000]]}


{"formula": "PrFeSi2Tc", "functional": "PBE", "state": "optimized geometry", "e_form_raw_kcal_per_mol_atoms": -13.4, "magnetic_moment_mub_per_fu": 1.6, "lattice": [[-3.963, 0.990, 0.315], [-0.431, -0.440, -4.050], [1.011, -5.236, 2.533]], "species": ["Fe", "Si", "Si", "Tc", "Pr"], "frac_coords": [[0.750, 0.250, 0.500], [0.629, 0.629, 0.258], [0.371, 0.371, 0.742], [0.250, 0.750, 0.500], [0.000, 0.000, 0.000]]}


{"formula": "Pm2TmRu", "functional": "PBE", "state": "optimized geometry", "e_form_mev_per_atom": -46, "relative_energy_kj_per_mol_atoms": 20.21, "magnetic_moment_mub_per_fu": 0.1, "lattice": [[3.493, 0.000, 0.000], [0.000, 3.493, 0.000], [0.000, 0.000, 9.075]], "species": ["Pm", "Pm", "Ru", "Tm"], "frac_coords": [[0.000, 0.000, 0.811], [0.000, 0.000, 0.189], [0.500, 0.500, 0.000], [0.500, 0.500, 0.500]]}


{"formula": "AcTmGeRh", "functional": "PBE", "state": "optimized geometry", "e_form_mev_per_atom": -549, "magnetic_moment_mub_per_fu": 0.0, "lattice": [[-0.248, -5.012, 1.214], [3.419, -2.030, 3.293], [-1.507, -1.441, 4.723]], "species": ["Tm", "Rh", "Ac", "Ge"], "frac_coords": [[0.250, 0.250, 0.250], [0.000, 0.000, 0.000], [0.750, 0.750, 0.750], [0.500, 0.500, 0.500]]}


{"formula": "TmLuTiAl", "functional": "PBE", "state": "optimized geometry", "e_form_mev_per_atom": -64, "magnetic_moment_mub_per_fu": 2.7, "lattice": [[-1.037, 2.970, 3.968], [-4.095, 2.978, -0.068], [-3.949, -1.056, 2.989]], "species": ["Tm", "Lu", "Ti", "Al"], "frac_coords": [[0.000, 0.000, 0.000], [0.500, 0.500, 0.500], [0.750, 0.750, 0.750], [0.250, 0.250, 0.250]]}


{"formula": "MnRe3Ni", "functional": "PBE", "state": "optimized geometry", "e_form_mev_per_atom": 1990, "relative_energy_kj_per_mol_atoms": 32.16, "magnetic_moment_mub_per_fu": 0.0, "lattice": [[-3.964, -1.786, -0.276], [-0.147, -0.345, 4.341], [-1.802, 3.959, 0.254]], "species": ["Re", "Re", "Re", "Mn", "Ni"], "frac_coords": [[0.000, 0.500, 0.000], [0.000, 0.000, 0.500], [0.500, 0.000, 0.000], [0.500, 0.500, 0.500], [0.000, 0.000, 0.000]]}


{"formula": "PmScTlRu", "functional": "PBE", "state": "optimized geometry", "e_form_mev_per_atom": -192, "relative_energy_kj_per_mol_atoms": 18.84, "magnetic_moment_mub_per_fu": 0.0, "lattice": [[5.024, 0.000, 0.000], [2.512, 4.351, 0.000], [2.512, 1.450, 4.102]], "species": ["Sc", "Pm", "Tl", "Ru"], "frac_coords": [[0.000, 0.000, 0.000], [0.500, 0.500, 0.500], [0.250, 0.250, 0.250], [0.750, 0.750, 0.750]]}